# PBE CoPd4Pt3, relaxed
data_CoPd4Pt3
_space_group_name_H-M_alt 'C 1 2/m 1'
_space_group_IT_number 12
_space_group_name_Hall '-C 2y'
_cell_length_a 21.850
_cell_length_b 2.691
_cell_length_c 4.496
_cell_angle_alpha 90.00
_cell_angle_beta 94.81
_cell_angle_gamma 90.00
loop_
_atom_site_label
_atom_site_fract_x
_atom_site_fract_y
_atom_site_fract_z
_atom_site_occupancy
Co1 0.000 0.000 0.000 1
Pd1 0.100 0.000 0.745 1
Pd2 0.166 0.000 0.272 1
Pt1 0.000 0.500 0.500 1
Pt2 0.212 0.500 0.778 1
# energy of formation from the pure elements = 20.19 kJ per mole of atoms
# calculated volume = 263.39 Å³/cell